Model w:
A geometry-optimized ThZn2Ru2 structure. Source: Alexandria via LeMat-Bulk, functional PBE-GGA.

a = 6.6418 Å, b = 5.0030 Å, c = 8.2304 Å
α = 61.87°, β = 66.20°, γ = 48.41°
Atoms (fractional coordinates):
Zn 0.7688 0.8579 0.4708
Zn 0.2312 0.1421 0.5292
Zn 0.9025 0.3579 0.9708
Th 0.3462 0.7500 0.2500
Ru 0.4207 0.8474 0.8345
Ru 0.8974 0.3474 0.3345
Th 0.6538 0.2500 0.7500
Ru 0.5793 0.1526 0.1655
Ru 0.1026 0.6526 0.6655
Zn 0.0975 0.6421 0.0292

Output
Space-group type = C2/c

Model x:
A geometry-optimized ThZn2Ru2 structure. Source: Alexandria via LeMat-Bulk, functional PBE-GGA.

a = 5.0918 Å, b = 5.0918 Å, c = 8.6554 Å
α = 99.53°, β = 99.53°, γ = 115.93°
Atoms (fractional coordinates):
Th 0.1248 0.3752 0.2500
Ru 0.1677 0.3323 0.7500
Zn 0.7407 0.9909 0.4816
Ru 0.8323 0.6677 0.2500
Th 0.8752 0.6248 0.7500
Zn 0.2593 0.0091 0.5184
Ru 0.4172 0.0828 0.2500
Zn 0.5091 0.7593 0.0184
Ru 0.5828 0.9172 0.7500
Zn 0.4909 0.2407 0.9816

Output
Space-group type = Fddd

model w (96 meV per atom below the next structure)

Model w:
A geometry-optimized Ti5Ru structure. Source: Alexandria via LeMat-Bulk, functional PBE-GGA.

a = 3.0499 Å, b = 3.0499 Å, c = 10.5587 Å
α = 90.00°, β = 90.00°, γ = 90.00°
Atoms (fractional coordinates):
Ti 0.5000 0.5000 0.8196
Ti 0.0000 0.0000 0.6453
Ru 0.5000 0.5000 0.5000
Ti 0.5000 0.5000 0.1804
Ti 0.0000 0.0000 0.3547
Ti 0.0000 0.0000 0.0000

Output
Space-group type = P4/mmm

Model x:
A geometry-optimized Ti5Ru structure. Source: Alexandria via LeMat-Bulk, functional PBE-GGA.

a = 4.5761 Å, b = 3.0844 Å, c = 7.0361 Å
α = 102.66°, β = 90.00°, γ = 90.00°
Atoms (fractional coordinates):
Ti 0.0000 0.3434 0.6868
Ti 0.5000 0.1683 0.3365
Ru 0.0000 0.0000 0.0000
Ti 0.0000 0.6566 0.3132
Ti 0.5000 0.8317 0.6635
Ti 0.5000 0.5000 0.0000

Output
Space-group type = Cmmm

model w (31 meV per atom below the next structure)

Model w:
A geometry-optimized Ti4Ru structure. Source: Alexandria via LeMat-Bulk, functional PBE-GGA.

a = 4.6589 Å, b = 4.6589 Å, c = 4.6589 Å
α = 90.00°, β = 90.00°, γ = 90.00°
Each line ends with the local moment (μB).
Atoms (fractional coordinates):
Ti 0.5000 0.0000 0.5000  -0.08
Ti 0.5000 0.5000 0.0000  -0.08
Ru 0.5000 0.5000 0.5000  0.03
Ti 0.0000 0.0000 0.0000  0.52
Ti 0.0000 0.5000 0.5000  -0.08

Output
Space-group type = Pm-3m

Model x:
A geometry-optimized Ti4Ru structure. Source: Alexandria via LeMat-Bulk, functional PBE-GGA.

a = 11.3938 Å, b = 11.2479 Å, c = 2.8349 Å
α = 85.74°, β = 79.89°, γ = 14.37°
Atoms (fractional coordinates):
Ti 0.8043 0.8043 0.1957
Ti 0.4100 0.4100 0.5900
Ti 0.5900 0.5900 0.4100
Ti 0.1957 0.1957 0.8043
Ru 0.0000 0.0000 0.0000

Output
Space-group type = Fmmm

model x (585 meV per atom below the next structure)

Model w:
A geometry-optimized TiV2Ru2 structure. Source: Alexandria via LeMat-Bulk, functional PBE-GGA.

a = 7.2045 Å, b = 7.2045 Å, c = 2.8273 Å
α = 90.00°, β = 90.00°, γ = 90.00°
Each line ends with the local moment (μB).
Atoms (fractional coordinates):
V 0.6475 0.1475 0.0000  0.12
Ti 0.0000 0.0000 0.0000  0.40
Ru 0.1526 0.6526 0.5000  -0.01
V 0.3525 0.8525 0.0000  0.12
Ti 0.5000 0.5000 0.0000  0.40
Ru 0.8474 0.3474 0.5000  -0.01
Ru 0.3474 0.1526 0.5000  -0.01
V 0.8525 0.6475 0.0000  0.12
Ru 0.6526 0.8474 0.5000  -0.01
V 0.1475 0.3525 0.0000  0.12

Output
Space-group type = P4/mbm

Model x:
A geometry-optimized TiV2Ru2 structure. Source: Alexandria via LeMat-Bulk, functional PBE-GGA.

a = 7.1801 Å, b = 7.1801 Å, c = 2.8805 Å
α = 90.00°, β = 90.00°, γ = 90.00°
Each line ends with the local moment (μB).
Atoms (fractional coordinates):
Ti 0.0000 0.0000 0.0000  0.42
Ti 0.5000 0.5000 0.0000  0.42
V 0.8420 0.3420 0.5000  0.31
Ru 0.6423 0.1423 0.0000  -0.04
Ru 0.1423 0.3577 0.0000  -0.04
Ru 0.8577 0.6423 0.0000  -0.04
Ru 0.3577 0.8577 0.0000  -0.04
V 0.1580 0.6580 0.5000  0.31
V 0.3420 0.1580 0.5000  0.31
V 0.6580 0.8420 0.5000  0.31

Output
Space-group type = P4/mbm

model w (33 meV per atom below the next structure)

Model w:
A geometry-optimized TiRu2W2 structure. Source: Alexandria via LeMat-Bulk, functional PBE-GGA.

a = 7.5445 Å, b = 7.5445 Å, c = 2.8401 Å
α = 90.00°, β = 90.00°, γ = 90.00°
Atoms (fractional coordinates):
Ti 0.0000 0.0000 0.0000
Ru 0.6445 0.8555 0.5000
Ru 0.3555 0.1445 0.5000
W 0.1524 0.3476 0.0000
Ti 0.5000 0.5000 0.0000
W 0.8476 0.6524 0.0000
Ru 0.1445 0.6445 0.5000
W 0.3476 0.8476 0.0000
W 0.6524 0.1524 0.0000
Ru 0.8555 0.3555 0.5000

Output
Space-group type = P4/mbm

Model x:
A geometry-optimized TiRu2W2 structure. Source: Alexandria via LeMat-Bulk, functional PBE-GGA.

a = 7.4681 Å, b = 7.4681 Å, c = 2.8810 Å
α = 90.00°, β = 90.00°, γ = 90.00°
Atoms (fractional coordinates):
Ti 0.5000 0.5000 0.0000
W 0.1648 0.6648 0.5000
Ti 0.0000 0.0000 0.0000
W 0.3352 0.1648 0.5000
W 0.8352 0.3352 0.5000
Ru 0.8669 0.6331 0.0000
Ru 0.6331 0.1331 0.0000
Ru 0.3669 0.8669 0.0000
W 0.6648 0.8352 0.5000
Ru 0.1331 0.3669 0.0000

Output
Space-group type = P4/mbm

model x (15 meV per atom below the next structure)

Model w:
A geometry-optimized Y2TiRu2 structure. Source: Alexandria via LeMat-Bulk, functional PBE-GGA.

a = 6.7645 Å, b = 6.7645 Å, c = 4.5248 Å
α = 90.00°, β = 90.00°, γ = 90.00°
Atoms (fractional coordinates):
Ti 0.5000 0.5000 0.0000
Ru 0.8672 0.6328 0.0000
Ru 0.3672 0.8672 0.0000
Ru 0.1328 0.3672 0.0000
Y 0.3223 0.1777 0.5000
Y 0.1777 0.6777 0.5000
Ti 0.0000 0.0000 0.0000
Y 0.6777 0.8223 0.5000
Ru 0.6328 0.1328 0.0000
Y 0.8223 0.3223 0.5000

Output
Space-group type = P4/mbm

Model x:
A geometry-optimized Y2TiRu2 structure. Source: Alexandria via LeMat-Bulk, functional PBE-GGA.

a = 3.4801 Å, b = 3.4801 Å, c = 9.7373 Å
α = 79.71°, β = 79.71°, γ = 90.00°
Atoms (fractional coordinates):
Ru 0.2500 0.7500 0.5000
Y 0.3851 0.3851 0.2299
Ru 0.7500 0.2500 0.5000
Ti 0.0000 0.0000 0.0000
Y 0.6149 0.6149 0.7701

Output
Space-group type = I4/mmm

Model y:
A geometry-optimized Y2TiRu2 structure. Source: Alexandria via LeMat-Bulk, functional PBE-GGA.

a = 8.0206 Å, b = 8.0206 Å, c = 3.1545 Å
α = 90.00°, β = 90.00°, γ = 90.00°
Atoms (fractional coordinates):
Y 0.1375 0.3625 0.0000
Y 0.3625 0.8625 0.0000
Ti 0.0000 0.0000 0.0000
Y 0.8625 0.6375 0.0000
Ru 0.1698 0.6698 0.5000
Ru 0.6698 0.8302 0.5000
Ti 0.5000 0.5000 0.0000
Ru 0.8302 0.3302 0.5000
Y 0.6375 0.1375 0.0000
Ru 0.3302 0.1698 0.5000

Output
Space-group type = P4/mbm

model w (516 meV per atom below the next structure)